No. 1
K4CrHg: relaxed, PBE.

Properties
Energy of formation   587 meV per atom

```
data_K4CrHg
_symmetry_space_group_name_H-M 'P 1'
_symmetry_Int_Tables_number 1
_symmetry_space_group_name_Hall 'P 1'
_cell_length_a 7.617
_cell_length_b 7.617
_cell_length_c 7.617
_cell_angle_alpha 60.00
_cell_angle_beta 60.00
_cell_angle_gamma 60.00
loop_
_atom_site_label
_atom_site_fract_x
_atom_site_fract_y
_atom_site_fract_z
K1 0.125 0.125 0.125
K2 0.125 0.125 0.626
K3 0.125 0.626 0.125
K4 0.626 0.125 0.125
Cr1 0.750 0.750 0.750
Hg1 0.500 0.500 0.500
```

***

No. 2
Ho5Er4Sc3: relaxed, PBE.

Properties
Energy of formation   220 meV per atom

```
data_Ho5Er4Sc3
_symmetry_space_group_name_H-M 'P 1'
_symmetry_Int_Tables_number 1
_symmetry_space_group_name_Hall 'P 1'
_cell_length_a 8.416
_cell_length_b 8.416
_cell_length_c 9.014
_cell_angle_alpha 115.73
_cell_angle_beta 115.73
_cell_angle_gamma 39.28
loop_
_atom_site_label
_atom_site_fract_x
_atom_site_fract_y
_atom_site_fract_z
Ho1 0.000 0.000 0.000
Ho2 0.326 0.326 0.621
Ho3 0.425 0.425 0.289
Ho4 0.575 0.575 0.711
Ho5 0.674 0.674 0.379
Er1 0.081 0.081 0.440
Er2 0.216 0.216 0.879
Er3 0.784 0.784 0.121
Er4 0.919 0.919 0.560
Sc1 0.213 0.213 0.233
Sc2 0.500 0.500 0.000
Sc3 0.787 0.787 0.767
```

***

No. 3
Ac6La5Sm: relaxed, PBE.

Properties
Energy of formation   22 meV per atom

```
data_Ac6La5Sm
_symmetry_space_group_name_H-M 'P 1'
_symmetry_Int_Tables_number 1
_symmetry_space_group_name_Hall 'P 1'
_cell_length_a 10.194
_cell_length_b 10.194
_cell_length_c 10.194
_cell_angle_alpha 148.74
_cell_angle_beta 116.16
_cell_angle_gamma 72.80
loop_
_atom_site_label
_atom_site_fract_x
_atom_site_fract_y
_atom_site_fract_z
Ac1 0.083 0.334 0.749
Ac2 0.249 0.000 0.249
Ac3 0.415 0.666 0.749
Ac4 0.585 0.334 0.251
Ac5 0.751 0.000 0.751
Ac6 0.917 0.666 0.251
La1 0.166 0.166 0.000
La2 0.334 0.834 0.500
La3 0.500 0.500 0.000
La4 0.666 0.166 0.500
La5 0.834 0.834 0.000
Sm1 0.000 0.500 0.500
```

***

No. 4
GdMgSn2: relaxed, PBE.

Properties
Energy of formation   -516 meV per atom

```
data_GdMgSn2
_symmetry_space_group_name_H-M 'P 1'
_symmetry_Int_Tables_number 1
_symmetry_space_group_name_Hall 'P 1'
_cell_length_a 4.752
_cell_length_b 4.752
_cell_length_c 4.432
_cell_angle_alpha 90.00
_cell_angle_beta 90.00
_cell_angle_gamma 90.00
loop_
_atom_site_label
_atom_site_fract_x
_atom_site_fract_y
_atom_site_fract_z
Gd1 0.000 0.000 0.000
Mg1 0.500 0.500 0.000
Sn1 0.000 0.500 0.500
Sn2 0.500 0.000 0.500
```

***

No. 5
Pr3Sm2Y6Th: relaxed, PBE.

Properties
Energy of formation   19 meV per atom

```
data_Pr3Sm2Y6Th
_symmetry_space_group_name_H-M 'P 1'
_symmetry_Int_Tables_number 1
_symmetry_space_group_name_Hall 'P 1'
_cell_length_a 6.282
_cell_length_b 6.282
_cell_length_c 11.893
_cell_angle_alpha 95.05
_cell_angle_beta 95.05
_cell_angle_gamma 119.97
loop_
_atom_site_label
_atom_site_fract_x
_atom_site_fract_y
_atom_site_fract_z
Pr1 0.000 0.000 0.000
Pr2 0.333 0.667 0.000
Pr3 0.667 0.333 0.000
Sm1 0.167 0.833 0.500
Sm2 0.833 0.167 0.500
Y1 0.088 0.418 0.253
Y2 0.253 0.253 0.747
Y3 0.418 0.088 0.253
Y4 0.582 0.912 0.747
Y5 0.747 0.747 0.253
Y6 0.912 0.582 0.747
Th1 0.500 0.500 0.500
```

***

No. 6
Na3TmMn2Se6: relaxed, PBE.

Properties
Formation energy from raw total energies   -1.013 eV per atom

```
data_Na3TmMn2Se6
_symmetry_space_group_name_H-M 'P 1'
_symmetry_Int_Tables_number 1
_symmetry_space_group_name_Hall 'P 1'
_cell_length_a 6.737
_cell_length_b 6.737
_cell_length_c 7.369
_cell_angle_alpha 98.81
_cell_angle_beta 98.81
_cell_angle_gamma 120.06
loop_
_atom_site_label
_atom_site_fract_x
_atom_site_fract_y
_atom_site_fract_z
Na1 0.000 0.000 0.000
Na2 0.338 0.662 0.000
Na3 0.662 0.338 0.000
Tm1 0.500 0.500 0.500
Mn1 0.167 0.833 0.500
Mn2 0.833 0.167 0.500
Se1 0.073 0.428 0.288
Se2 0.216 0.216 0.712
Se3 0.428 0.073 0.288
Se4 0.572 0.927 0.712
Se5 0.784 0.784 0.288
Se6 0.927 0.572 0.712
```